# PBE Al2SbRh, optimized geometry
data_Al2SbRh
_space_group_name_H-M_alt 'P 1'
_space_group_IT_number 1
_cell_length_a 3.991
_cell_length_b 4.310
_cell_length_c 5.270
_cell_angle_alpha 90.00
_cell_angle_beta 112.15
_cell_angle_gamma 90.00
loop_
_space_group_symop_operation_xyz
'x,y,z'
loop_
_atom_site_label
_atom_site_fract_x
_atom_site_fract_y
_atom_site_fract_z
Al1 0.000 0.000 0.000
Al2 0.497 0.500 0.995
Sb1 0.299 0.000 0.596
Rh1 0.134 0.500 0.269
# formation energy from raw total energies	-0.328	eV/atom
# D(E_F)	0.297	states/eV per atom
# space group	No. 6